[1]
# Li3ZnPt (SCAN, PBEsol geometry)
data_Li3ZnPt
_chemical_formula_sum 'Li3 Zn1 Pt1'
_symmetry_space_group_name_H-M 'P m -3 m'
_symmetry_Int_Tables_number 221
_symmetry_space_group_name_Hall '-P 4 2 3'
_cell_length_a 4.6624
_cell_length_b 4.6624
_cell_length_c 4.6624
_cell_angle_alpha 90.00
_cell_angle_beta 90.00
_cell_angle_gamma 90.00
loop_
_atom_site_label
_atom_site_type_symbol
_atom_site_fract_x
_atom_site_fract_y
_atom_site_fract_z
Li1 Li 0.0000 0.0000 0.5000
Zn1 Zn 0.5000 0.5000 0.5000
Pt1 Pt 0.0000 0.0000 0.0000
# Formation energy, meV per atom: 3

---

[2]
# LiZnPt (SCAN, PBEsol geometry)
data_LiZnPt
_chemical_formula_sum 'Li2 Zn2 Pt2'
_symmetry_space_group_name_H-M 'I m m 2'
_symmetry_Int_Tables_number 44
_cell_length_a 2.7578
_cell_length_b 3.7644
_cell_length_c 7.7837
_cell_angle_alpha 90.00
_cell_angle_beta 90.00
_cell_angle_gamma 90.00
loop_
_symmetry_equiv_pos_as_xyz
'x,y,z'
'-x,-y,z'
'-x,y,z'
'x,-y,z'
'x+1/2,y+1/2,z+1/2'
'-x+1/2,-y+1/2,z+1/2'
'-x+1/2,y+1/2,z+1/2'
'x+1/2,-y+1/2,z+1/2'
loop_
_atom_site_label
_atom_site_type_symbol
_atom_site_fract_x
_atom_site_fract_y
_atom_site_fract_z
Li1 Li 0.0000 0.0000 0.0000
Zn1 Zn 0.0000 0.0000 0.3251
Pt1 Pt 0.0000 0.0000 0.6665
# ΔE to the lowest computed polymorph, eV/atom: 0.000
# Formation energy, meV per atom: -635